Record 1
CsCaMnSi2 (PBE, optimized geometry); final energy = -2.591 eV per atom
1.0
5.6348 0.0000 0.0000
0.0000 5.6348 0.0000
0.0000 0.0000 5.7366
Cs Ca Mn Si
1 1 1 2
direct
0.0000 0.0000 0.0000
0.0000 0.0000 0.5000
0.5000 0.5000 0.5000
0.0000 0.5000 0.0000
0.5000 0.0000 0.0000


Record 2
CsSrCaMn2 (PBE, optimized geometry); calculated formation energy = 1.17 eV/atom
1.0
5.8525 0.0000 0.0000
0.0000 5.8525 0.0000
0.0000 0.0000 6.4887
Cs Sr Ca Mn
1 1 1 2
direct
0.0000 0.0000 0.0000
0.5000 0.5000 0.0000
0.5000 0.5000 0.5000
0.0000 0.5000 0.5000
0.5000 0.0000 0.5000


Record 3
CsCaMo3 (PBE, optimized geometry); calculated formation energy = 2.88 eV/atom
1.0
5.2636 0.0000 0.0000
0.0000 5.2636 0.0000
0.0000 0.0000 5.2636
Cs Ca Mo
1 1 3
direct
0.0000 0.0000 0.0000
0.5000 0.5000 0.5000
0.0000 0.5000 0.5000
0.5000 0.0000 0.5000
0.5000 0.5000 0.0000


Record 4
CsCaMo3 (PBE, optimized geometry); calculated formation energy = 2.71 eV/atom
1.0
5.0014 0.0000 0.0000
0.0000 5.0014 0.0000
0.0000 0.0000 5.0014
Cs Ca Mo
1 1 3
direct
0.0000 0.0000 0.0000
0.5000 0.5000 0.5000
0.0000 0.0000 0.5000
0.0000 0.5000 0.0000
0.5000 0.0000 0.0000


Record 5
Cs3CaMo (PBE, optimized geometry); calculated formation energy = 1.19 eV/atom
1.0
7.5201 0.0000 0.0000
0.0000 7.5201 0.0000
0.0000 0.0000 7.5201
Cs Ca Mo
3 1 1
direct
0.0000 0.0000 0.5000
0.0000 0.5000 0.0000
0.5000 0.0000 0.0000
0.5000 0.5000 0.5000
0.0000 0.0000 0.0000


Record 6
CsCa2Mo (PBE, optimized geometry); calculated formation energy = 1.08 eV/atom
1.0
0.0000 4.1780 4.1780
4.1780 0.0000 4.1780
4.1780 4.1780 0.0000
Cs Ca Mo
1 2 1
direct
0.0000 0.0000 0.0000
0.2500 0.2500 0.2500
0.7500 0.7500 0.7500
0.5000 0.5000 0.5000


Record 7
Cs2CaNiMo (PBE, optimized geometry); calculated formation energy = 1.54 eV/atom
1.0
7.5155 0.0000 0.0000
0.0000 7.5155 0.0000
0.0000 0.0000 4.8537
Cs Ca Ni Mo
2 1 1 1
direct
0.0000 0.5000 0.0000
0.5000 0.0000 0.0000
0.0000 0.0000 0.0000
0.0000 0.0000 0.5000
0.5000 0.5000 0.5000